Record 1
Computed, not measured: a relaxed KSrAsBr2 crystal at the GGA-PBE level of DFT.

```
data_KSrAsBr2
_chemical_formula_sum 'K1 Sr1 As1 Br2'
_cell_length_a 5.785
_cell_length_b 5.785
_cell_length_c 6.003
_cell_angle_alpha 90.00
_cell_angle_beta 90.00
_cell_angle_gamma 90.00
_symmetry_space_group_name_H-M 'P 1'
_symmetry_Int_Tables_number 1
loop_
_symmetry_equiv_pos_as_xyz
'x,y,z'
loop_
_atom_site_label
_atom_site_type_symbol
_atom_site_fract_x
_atom_site_fract_y
_atom_site_fract_z
_atom_site_occupancy
K1 K 0.000 0.000 0.000 1
Sr1 Sr 0.500 0.500 0.500 1
As1 As 0.000 0.000 0.500 1
Br1 Br 0.000 0.500 0.000 1
Br2 Br 0.500 0.000 0.000 1
```

Values from the calculation:
DOS at the Fermi energy ... 3.4 states/eV/f.u.
SG ... P4/mmm (123)
Energy above the lowest structure with this stoichiometry ... 0.4733 eV per atom
Raw formation energy ... -0.563 eV per atom
Raw total energy ... -2.7181 eV/atom
Theoretical density ... 2.99 g/cm3

Record 2
Computed, not measured: a relaxed TbHf2Sc3N6 crystal at the GGA-PBE level of DFT.

```
data_TbHf2Sc3N6
_chemical_formula_sum 'Tb1 Hf2 Sc3 N6'
_cell_length_a 7.251
_cell_length_b 7.251
_cell_length_c 6.507
_cell_angle_alpha 102.56
_cell_angle_beta 102.56
_cell_angle_gamma 25.89
_symmetry_space_group_name_H-M 'P 1'
_symmetry_Int_Tables_number 1
loop_
_symmetry_equiv_pos_as_xyz
'x,y,z'
loop_
_atom_site_label
_atom_site_type_symbol
_atom_site_fract_x
_atom_site_fract_y
_atom_site_fract_z
_atom_site_occupancy
Tb1 Tb 0.000 0.000 0.000 1
Hf1 Hf 0.333 0.333 0.665 1
Hf2 Hf 0.667 0.667 0.335 1
Sc1 Sc 0.000 0.000 0.500 1
Sc2 Sc 0.333 0.333 0.167 1
Sc3 Sc 0.667 0.667 0.833 1
N1 N 0.169 0.169 0.580 1
N2 N 0.172 0.172 0.095 1
N3 N 0.496 0.496 0.733 1
N4 N 0.504 0.504 0.267 1
N5 N 0.828 0.828 0.905 1
N6 N 0.831 0.831 0.420 1
```

Values from the calculation:
DOS at the Fermi energy ... 2.8 states/eV/f.u.
SG ... C2/m (12)
Raw formation energy ... -1.853 eV per atom
Raw total energy ... -9.6436 eV/atom
Theoretical density ... 8.38 g/cm3

Record 3
Computed, not measured: a relaxed InSi2Br crystal at the GGA-PBE level of DFT.

```
data_InSi2Br
_chemical_formula_sum 'In2 Si4 Br2'
_cell_length_a 13.037
_cell_length_b 3.757
_cell_length_c 4.189
_cell_angle_alpha 90.00
_cell_angle_beta 90.00
_cell_angle_gamma 90.00
_symmetry_space_group_name_H-M 'P 1'
_symmetry_Int_Tables_number 1
loop_
_symmetry_equiv_pos_as_xyz
'x,y,z'
loop_
_atom_site_label
_atom_site_type_symbol
_atom_site_fract_x
_atom_site_fract_y
_atom_site_fract_z
_atom_site_occupancy
In1 In 0.000 0.000 0.000 1
In2 In 0.500 0.500 0.000 1
Si1 Si 0.047 0.500 0.501 1
Si2 Si 0.160 0.000 0.499 1
Si3 Si 0.547 0.000 0.501 1
Si4 Si 0.660 0.500 0.499 1
Br1 Br 0.295 0.500 0.002 1
Br2 Br 0.795 0.000 0.002 1
```

Values from the calculation:
DOS at the Fermi energy ... 2.1 states/eV/f.u.
SG ... Cm (8)
Energy above the lowest structure with this stoichiometry ... 0.2533 eV per atom
Raw formation energy ... 0.269 eV per atom
Raw total energy ... -3.5457 eV/atom
Theoretical density ... 4.06 g/cm3